Run one
Computed, not measured: a relaxed structure of Cu2AgO4 at the GGA-PBE level of DFT.

Results
* magnetization: 0.894 μB per formula unit
* N(E_F): 6.47 states/eV/f.u.

Cell and atoms, written as POSCAR:
```
Cu2AgO4
1.0
-2.875 -4.327 -2.013
2.529 -3.375 3.641
-3.928 4.829 2.941
O Cu Ag
8 4 2
Cartesian
-1.113 0.289 5.303 O
-0.363 -0.520 1.635 O
-3.775 -0.510 2.149 O
-2.730 -2.145 4.171 O
-2.019 -2.631 0.829 O
-2.158 1.924 3.282 O
1.060 -2.418 3.683 O
-0.597 -4.529 2.877 O
-3.182 -3.000 -0.571 Cu
-5.146 -0.586 0.899 Cu
-3.881 -2.273 2.720 Cu
-1.744 -0.837 0.435 Cu
-0.173 -3.851 0.814 Ag
-0.786 -1.198 3.698 Ag
```

---

Run two
Computed, not measured: a relaxed structure of Cu2AgO4 at the GGA-PBE level of DFT.

Results
* magnetization: 0.000 μB per formula unit
* N(E_F): 3.52 states/eV/f.u.

Cell and atoms, written as POSCAR:
```
Cu2AgO4
1.0
-2.178 -4.746 -1.922
-1.825 -1.232 5.110
-2.358 5.386 -2.573
O Cu Ag
8 4 2
Cartesian
-2.418 0.724 -2.031 O
-3.030 4.033 -1.452 O
-2.149 -3.521 -0.494 O
-2.420 1.936 0.945 O
-3.122 -0.642 0.639 O
-4.762 -3.201 1.679 O
-2.332 -2.194 3.576 O
-5.210 0.498 -0.398 O
-3.637 2.368 2.302 Cu
-4.726 -0.005 1.341 Cu
-1.546 0.291 1.033 Cu
-2.458 -0.325 3.588 Cu
-3.269 -1.174 -1.450 Ag
-2.001 -2.989 1.594 Ag
```

---

Run three
Computed, not measured: a relaxed structure of Cu2AgO4 at the GGA-PBE level of DFT.

Results
* magnetization: 0.000 μB per formula unit
* N(E_F): 4.75 states/eV/f.u.

Cell and atoms, written as POSCAR:
```
Cu2AgO4
1.0
4.130 -0.096 0.004
0.709 4.274 -0.163
0.156 0.406 5.317
O Cu Ag
4 2 1
Cartesian
3.848 3.500 3.750 O
1.353 1.340 3.842 O
1.148 1.084 1.409 O
3.642 3.244 1.316 O
2.143 0.155 2.661 Cu
0.433 2.340 2.577 Cu
0.000 0.000 0.000 Ag
```

---

Relative energy of each structure, in meV/atom: run one 52; run two 6; run three 0.

---

Run one
Computed, not measured: a relaxed structure of CuAgPO2 at the GGA-PBE level of DFT.

Results
* magnetization: 1.053 μB per formula unit
* N(E_F): 4.83 states/eV/f.u.

Cell and atoms, written as POSCAR:
```
CuAgPO2
1.0
3.701 0.000 0.000
0.000 3.701 0.000
0.000 0.000 5.063
O Ag P Cu
2 1 1 1
Cartesian
0.000 1.851 0.000 O
1.851 0.000 0.000 O
1.851 1.851 2.532 Ag
0.000 0.000 2.532 P
0.000 0.000 0.000 Cu
```

---

Run two
Computed, not measured: a relaxed structure of CuAgPO2 at the GGA-PBE level of DFT.

Results
* magnetization: 1.082 μB per formula unit
* N(E_F): 5.29 states/eV/f.u.

Cell and atoms, written as POSCAR:
```
CuAgPO2
1.0
3.906 0.000 0.000
0.000 3.906 0.000
0.000 0.000 5.189
P Ag O Cu
1 1 2 1
Cartesian
0.000 0.000 2.595 P
0.000 0.000 0.000 Ag
0.000 1.953 0.000 O
1.953 0.000 0.000 O
1.953 1.953 2.595 Cu
```

---

Relative energy of each structure, in meV/atom: run one 0; run two 513.

---

Run one
Computed, not measured: a relaxed structure of SrCu2AgO at the GGA-PBE level of DFT.

Results
* magnetization: 0.003 μB per formula unit
* N(E_F): 10.79 states/eV/f.u.

Cell and atoms, written as POSCAR:
```
SrCu2AgO
1.0
-0.271 -2.841 -4.545
5.089 -2.709 1.390
-2.742 -3.837 2.562
O Ag Cu Sr
1 1 2 1
Cartesian
1.038 -4.694 -0.296 O
2.544 -1.355 0.695 Ag
-1.371 -1.918 1.281 Cu
-0.136 -1.421 -2.273 Cu
0.000 0.000 0.000 Sr
```

---

Run two
Computed, not measured: a relaxed structure of SrCu2AgO at the GGA-PBE level of DFT.

Results
* magnetization: 0.000 μB per formula unit
* N(E_F): 4.16 states/eV/f.u.

Cell and atoms, written as POSCAR:
```
SrCu2AgO
1.0
5.534 0.000 0.000
0.000 4.270 0.000
0.000 0.000 5.534
Cu Sr O Ag
2 1 1 1
Cartesian
0.000 0.000 2.767 Cu
2.767 0.000 0.000 Cu
0.000 0.000 0.000 Sr
0.000 2.135 0.000 O
2.767 2.135 2.767 Ag
```

---

Relative energy of each structure, in meV/atom: run one 1066; run two 0.

---

Run one
Computed, not measured: a relaxed structure of Cu2AgOs at the GGA-PBE level of DFT.

Results
* magnetization: 0.000 μB per formula unit
* N(E_F): 3.61 states/eV/f.u.

Cell and atoms, written as POSCAR:
```
Cu2AgOs
1.0
-1.328 -0.498 2.238
2.179 -4.032 0.396
3.331 2.039 2.431
Ag Cu Os
1 2 1
Cartesian
1.001 0.770 2.334 Ag
0.000 0.000 0.000 Cu
2.755 -0.996 1.413 Cu
0.426 -2.265 1.317 Os
```

---

Run two
Computed, not measured: a relaxed structure of Cu2AgOs at the GGA-PBE level of DFT.

Results
* magnetization: 0.000 μB per formula unit
* N(E_F): 0.62 states/eV/f.u.

Cell and atoms, written as POSCAR:
```
Cu2AgOs
1.0
-0.285 3.731 3.499
-2.537 2.474 3.699
1.240 -1.533 4.311
Cu Ag Os
2 1 1
Cartesian
-1.269 3.594 8.268 Cu
0.060 -0.050 0.362 Cu
-0.501 1.307 2.565 Ag
-0.662 2.155 6.068 Os
```

---

Run three
Computed, not measured: a relaxed structure of Cu2AgOs at the GGA-PBE level of DFT.

Results
* magnetization: 1.551 μB per formula unit
* N(E_F): 3.38 states/eV/f.u.

Cell and atoms, written as POSCAR:
```
Cu2AgOs
1.0
0.000 3.042 3.042
3.042 0.000 3.042
3.042 3.042 0.000
Os Cu Ag
1 2 1
Cartesian
3.042 3.042 3.042 Os
4.563 4.563 4.563 Cu
1.521 1.521 1.521 Cu
0.000 0.000 0.000 Ag
```

---

Run four
Computed, not measured: a relaxed structure of Cu2AgOs at the GGA-PBE level of DFT.

Results
* magnetization: 0.770 μB per formula unit
* N(E_F): 4.24 states/eV/f.u.

Cell and atoms, written as POSCAR:
```
Cu2AgOs
1.0
-3.206 3.503 0.245
-1.280 0.856 4.498
4.223 -0.382 -2.150
Cu Ag Os
2 1 1
Cartesian
0.000 0.000 0.000 Cu
0.350 1.326 2.360 Cu
-0.613 2.650 0.233 Ag
-2.243 2.179 2.372 Os
```

---

Relative energy of each structure, in meV/atom: run one 24; run two 0; run three 217; run four 266.

---

Run one
Computed, not measured: a relaxed structure of Cu2AgOs at the GGA-PBE level of DFT.

Results
* magnetization: 0.000 μB per formula unit
* N(E_F): 2.07 states/eV/f.u.

Cell and atoms, written as POSCAR:
```
Cu2AgOs
1.0
-4.239 0.754 -0.059
-0.344 -2.054 -1.545
-0.751 -3.964 3.269
Cu Os Ag
2 1 1
Cartesian
-0.813 -4.335 2.959 Cu
-2.340 -0.798 0.769 Cu
-0.501 -2.754 0.787 Os
-2.979 -4.349 1.283 Ag
```

---

Run two
Computed, not measured: a relaxed structure of Cu2AgOs at the GGA-PBE level of DFT.

Results
* magnetization: 1.163 μB per formula unit
* N(E_F): 3.46 states/eV/f.u.

Cell and atoms, written as POSCAR:
```
Cu2AgOs
1.0
-3.418 1.259 -1.079
-1.482 -1.209 3.282
-0.727 7.830 4.755
Ag Cu Os
2 4 2
Cartesian
-2.450 0.025 1.102 Ag
-2.329 3.323 4.569 Ag
-4.865 5.890 5.567 Cu
-1.459 1.331 3.129 Cu
-2.579 2.621 0.901 Cu
-2.349 5.918 4.319 Cu
-3.297 4.557 2.389 Os
0.000 0.000 0.000 Os
```

---

Relative energy of each structure, in meV/atom: run one 0; run two 601.

---

Run one
Computed, not measured: a relaxed structure of Cu2AgOs at the GGA-PBE level of DFT.

Results
* magnetization: 0.000 μB per formula unit
* N(E_F): 2.51 states/eV/f.u.

Cell and atoms, written as POSCAR:
```
Cu2AgOs
1.0
2.654 -0.012 0.000
-1.192 2.371 0.000
0.000 0.000 9.140
Cu Os Ag
2 1 1
Cartesian
0.731 1.179 2.204 Cu
0.000 0.000 0.143 Cu
0.000 0.000 4.402 Os
0.731 1.179 6.960 Ag
```

---

Run two
Computed, not measured: a relaxed structure of Cu2AgOs at the GGA-PBE level of DFT.

Results
* magnetization: 0.000 μB per formula unit
* N(E_F): 2.72 states/eV/f.u.

Cell and atoms, written as POSCAR:
```
Cu2AgOs
1.0
-3.751 0.043 -0.679
0.159 -2.402 -1.031
-0.798 -4.645 4.118
Cu Os Ag
2 1 1
Cartesian
-0.297 -3.473 1.420 Cu
0.136 -2.452 -0.907 Cu
-2.035 -1.740 0.432 Os
-2.355 -5.264 1.976 Ag
```

---

Relative energy of each structure, in meV/atom: run one 0; run two 13.

---

Run one
Computed, not measured: a relaxed structure of Cu2AgOs at the GGA-PBE level of DFT.

Results
* magnetization: 0.000 μB per formula unit
* N(E_F): 2.77 states/eV/f.u.

Cell and atoms, written as POSCAR:
```
Cu2AgOs
1.0
-1.660 -0.735 5.038
3.179 -2.691 3.366
-1.054 4.217 -3.128
Cu Os Ag
2 1 1
Cartesian
0.010 -0.023 0.056 Cu
0.749 -1.690 4.146 Cu
1.442 -0.093 2.220 Os
-0.977 0.884 3.056 Ag
```

---

Run two
Computed, not measured: a relaxed structure of Cu2AgOs at the GGA-PBE level of DFT.

Results
* magnetization: 0.000 μB per formula unit
* N(E_F): 2.52 states/eV/f.u.

Cell and atoms, written as POSCAR:
```
Cu2AgOs
1.0
-1.278 -6.128 0.440
3.124 2.204 2.767
-1.390 -0.671 2.103
Os Cu Ag
1 2 1
Cartesian
0.867 0.766 2.435 Os
0.000 0.000 0.000 Cu
-1.334 -3.400 1.272 Cu
0.923 -1.962 1.603 Ag
```

---

Run three
Computed, not measured: a relaxed structure of Cu2AgOs at the GGA-PBE level of DFT.

Results
* magnetization: 0.000 μB per formula unit
* N(E_F): 2.38 states/eV/f.u.

Cell and atoms, written as POSCAR:
```
Cu2AgOs
1.0
-0.289 4.410 -1.328
-2.225 3.162 -2.519
-3.197 1.566 3.555
Ag Os Cu
1 1 2
Cartesian
-1.428 2.285 -0.073 Ag
-4.284 6.854 -0.219 Os
-3.133 1.565 3.450 Cu
-2.921 4.570 -0.042 Cu
```

---

Run four
Computed, not measured: a relaxed structure of Cu2AgOs at the GGA-PBE level of DFT.

Results
* magnetization: 1.920 μB per formula unit
* N(E_F): 2.78 states/eV/f.u.

Cell and atoms, written as POSCAR:
```
Cu2AgOs
1.0
4.338 0.000 0.000
2.169 3.757 0.000
2.169 1.252 3.542
Ag Cu Os
1 2 1
Cartesian
4.338 2.504 1.771 Ag
0.000 0.000 0.000 Cu
2.169 1.252 0.885 Cu
6.507 3.757 2.656 Os
```

---

Relative energy of each structure, in meV/atom: run one 161; run two 0; run three 63; run four 363.

---

Run one
Computed, not measured: a relaxed structure of CuAgOs at the GGA-PBE level of DFT.

Results
* magnetization: 2.114 μB per formula unit
* N(E_F): 1.21 states/eV/f.u.

Cell and atoms, written as POSCAR:
```
CuAgOs
1.0
4.146 0.000 0.000
2.073 3.591 0.000
2.073 1.197 3.386
Ag Cu Os
1 1 1
Cartesian
4.146 2.394 1.693 Ag
6.220 3.591 2.539 Cu
0.000 0.000 0.000 Os
```

---

Run two
Computed, not measured: a relaxed structure of CuAgOs at the GGA-PBE level of DFT.

Results
* magnetization: 0.000 μB per formula unit
* N(E_F): 2.56 states/eV/f.u.

Cell and atoms, written as POSCAR:
```
CuAgOs
1.0
2.722 0.000 0.000
-1.361 2.357 0.000
0.000 0.000 6.881
Ag Os Cu
1 1 1
Cartesian
0.000 0.000 0.070 Ag
0.000 1.572 4.462 Os
1.361 0.786 2.350 Cu
```

---

Relative energy of each structure, in meV/atom: run one 746; run two 0.

---

Run one
Computed, not measured: a relaxed structure of CuAgOs at the GGA-PBE level of DFT.

Results
* magnetization: 0.000 μB per formula unit
* N(E_F): 2.94 states/eV/f.u.

Cell and atoms, written as POSCAR:
```
CuAgOs
1.0
6.352 1.376 -0.383
4.580 4.609 0.385
-5.281 -3.329 1.842
Ag Cu Os
1 1 1
Cartesian
10.879 5.955 0.003 Ag
-1.698 -1.366 1.843 Cu
7.402 4.052 0.002 Os
```

---

Run two
Computed, not measured: a relaxed structure of CuAgOs at the GGA-PBE level of DFT.

Results
* magnetization: 0.000 μB per formula unit
* N(E_F): 2.01 states/eV/f.u.

Cell and atoms, written as POSCAR:
```
CuAgOs
1.0
7.416 0.001 -0.001
6.704 2.587 0.006
0.712 -1.107 2.337
Cu Os Ag
1 1 1
Cartesian
5.143 0.114 1.566 Cu
9.772 1.389 0.761 Os
14.036 2.565 0.020 Ag
```

---

Relative energy of each structure, in meV/atom: run one 32; run two 0.

---

Run one
Computed, not measured: a relaxed structure of Cu2Ag2P at the GGA-PBE level of DFT.

Results
* magnetization: 0.000 μB per formula unit
* N(E_F): 2.38 states/eV/f.u.

Cell and atoms, written as POSCAR:
```
Cu2Ag2P
1.0
3.352 0.000 0.000
0.000 3.352 0.000
1.676 1.676 7.307
Cu P Ag
2 1 2
Cartesian
1.676 3.352 3.653 Cu
3.352 1.676 3.653 Cu
0.000 0.000 0.000 P
3.352 3.352 5.846 Ag
1.676 1.676 1.461 Ag
```

---

Run two
Computed, not measured: a relaxed structure of Cu2Ag2P at the GGA-PBE level of DFT.

Results
* magnetization: 0.000 μB per formula unit
* N(E_F): 1.28 states/eV/f.u.

Cell and atoms, written as POSCAR:
```
Cu2Ag2P
1.0
-0.241 3.603 -4.776
-5.603 -1.811 -1.084
-1.512 3.192 2.484
P Ag Cu
2 4 4
Cartesian
0.000 0.000 0.000 P
-2.922 0.896 -2.930 P
-1.766 2.499 -0.533 Ag
-4.527 0.987 -0.271 Ag
-5.590 2.484 -2.842 Ag
-2.829 3.996 -3.104 Ag
-3.841 1.891 -4.767 Cu
-4.853 -0.276 -2.599 Cu
-0.991 2.069 -3.261 Cu
-2.003 -0.099 -1.092 Cu
```

---

Relative energy of each structure, in meV/atom: run one 280; run two 0.

---

Run one
Computed, not measured: a relaxed structure of SrCu2AgP at the GGA-PBE level of DFT.

Results
* magnetization: 0.000 μB per formula unit
* N(E_F): 0.26 states/eV/f.u.

Cell and atoms, written as POSCAR:
```
SrCu2AgP
1.0
-3.417 2.712 0.868
-3.786 -4.161 -1.909
-0.263 -1.651 4.122
Cu P Sr Ag
2 1 1 1
Cartesian
-0.132 -0.826 2.061 Cu
-1.709 1.356 0.434 Cu
0.000 0.000 0.000 P
-1.893 -2.080 -0.954 Sr
-3.733 -1.550 1.541 Ag
```

---

Run two
Computed, not measured: a relaxed structure of SrCu2AgP at the GGA-PBE level of DFT.

Results
* magnetization: 0.000 μB per formula unit
* N(E_F): 3.25 states/eV/f.u.

Cell and atoms, written as POSCAR:
```
SrCu2AgP
1.0
-4.064 -1.006 -1.813
-1.662 -1.351 4.473
-1.401 4.273 0.770
Ag Cu P Sr
1 2 1 1
Cartesian
-0.831 -0.675 2.237 Ag
-2.032 -0.503 -0.907 Cu
-0.700 2.137 0.385 Cu
0.000 0.000 0.000 P
-3.563 0.959 1.715 Sr
```

---

Relative energy of each structure, in meV/atom: run one 0; run two 26.